1.
Compound: Rb3NbS
Source: the Alexandria database
Functional: PBE
Structure: relaxed

Calculated values
Relative energy among the computed polymorphs (kJ/mol of atoms): 0.0

a b c (Å): 6.4115 6.4115 6.4115
angles (deg): 90.00 90.00 90.00
Each line ends with the local moment (μB).
Fractional positions:
Nb  0.5000  0.5000  0.5000  3.31
S  0.0000  0.0000  0.0000  0.02
Rb  0.0000  0.5000  0.0000  0.01
Rb  0.0000  0.0000  0.5000  0.01
Rb  0.5000  0.0000  0.0000  0.01



2.
Compound: RbNbS3
Source: the Alexandria database
Functional: PBE
Structure: relaxed

Calculated values
Relative energy among the computed polymorphs (kJ/mol of atoms): 0.0

a b c (Å): 6.3965 7.5286 7.5258
angles (deg): 58.45 89.99 89.96
Fractional positions:
S  0.4718  0.2500  0.7242
S  0.3390  0.2358  0.2539
S  0.9714  0.6457  0.2082
S  0.8385  0.6602  0.6784
S  0.4710  0.7060  0.2688
S  0.9715  0.1899  0.6639
Nb  0.2596  0.4015  0.4201
Nb  0.7595  0.4944  0.5124
Rb  0.3425  0.7587  0.7771
Rb  0.8432  0.1372  0.1552



3.
Compound: RbNbS3
Source: the Alexandria database
Functional: PBE
Structure: relaxed

Calculated values
Relative energy among the computed polymorphs (kJ/mol of atoms): 64.6

a b c (Å): 4.8627 4.8627 10.0828
angles (deg): 90.00 90.00 120.00
Fractional positions:
Nb  0.0000  0.0000  0.0000
Nb  0.0000  0.0000  0.5000
S  0.0000  0.0000  0.2500
S  0.0000  0.0000  0.7500
S  0.3333  0.6667  0.0417
S  0.3333  0.6667  0.4583
S  0.6667  0.3333  0.5417
S  0.6667  0.3333  0.9583
Rb  0.3333  0.6667  0.7500
Rb  0.6667  0.3333  0.2500



no.,total magnetic moment (μB per atom),final energy (eV per atom),ΔE_f (raw) (eV per atom)
1,1.03,-2.88,0.538
2,0.00,-5.77,-1.084
3,0.00,-5.10,-0.414